# 1
Entry from the Alexandria database: Y4PdAu after structural relaxation (PBE-GGA).

The structure in CIF format:
```
data_Y4PdAu
_cell_length_a 7.949
_cell_length_b 7.949
_cell_length_c 7.949
_cell_angle_alpha 106.03
_cell_angle_beta 106.03
_cell_angle_gamma 116.60
_space_group_name_H-M_alt 'P 1'
_space_group_IT_number 1
loop_
_space_group_symop_operation_xyz
'x,y,z'
loop_
_atom_site_label
_atom_site_fract_x
_atom_site_fract_y
_atom_site_fract_z
Y1 0.243 0.949 0.706
Y2 0.757 0.459 0.703
Y3 0.699 0.493 0.206
Y4 0.209 0.007 0.203
Y5 0.287 0.493 0.794
Y6 0.804 0.007 0.797
Y7 0.757 0.054 0.297
Y8 0.243 0.537 0.294
Pd1 0.251 0.251 0.000
Pd2 0.001 0.501 0.500
Au1 0.749 0.749 0.000
Au2 0.499 0.999 0.500
```

Total energy in eV/atom: -6.096
V in Å³ per atom: 31.848
DOS(E_F) in states/eV per cell: 19.1
Energy relative to the elements in eV per atom: -0.38

=====

# 2
Entry from the Alexandria database: YPd5Au2 after structural relaxation (PBE-GGA).

The structure in CIF format:
```
data_YPd5Au2
_cell_length_a 4.121
_cell_length_b 4.121
_cell_length_c 8.608
_cell_angle_alpha 103.85
_cell_angle_beta 103.85
_cell_angle_gamma 90.00
_space_group_name_H-M_alt 'P 1'
_space_group_IT_number 1
loop_
_space_group_symop_operation_xyz
'x,y,z'
loop_
_atom_site_label
_atom_site_fract_x
_atom_site_fract_y
_atom_site_fract_z
Y1 0.000 0.000 0.000
Pd1 0.500 0.500 0.000
Pd2 0.627 0.127 0.253
Pd3 0.127 0.627 0.253
Pd4 0.373 0.873 0.747
Pd5 0.873 0.373 0.747
Au1 0.252 0.252 0.503
Au2 0.748 0.748 0.497
```

Total energy in eV/atom: -5.336
V in Å³ per atom: 17.191
DOS(E_F) in states/eV per cell: 6.0
Energy relative to the elements in eV per atom: -0.46

=====

# 3
Entry from the Alexandria database: Y2Pd2Au after structural relaxation (PBE-GGA).

The structure in CIF format:
```
data_Y2Pd2Au
_cell_length_a 7.865
_cell_length_b 7.865
_cell_length_c 3.702
_cell_angle_alpha 90.00
_cell_angle_beta 90.00
_cell_angle_gamma 90.00
_space_group_name_H-M_alt 'P 1'
_space_group_IT_number 1
loop_
_space_group_symop_operation_xyz
'x,y,z'
loop_
_atom_site_label
_atom_site_fract_x
_atom_site_fract_y
_atom_site_fract_z
Y1 0.334 0.834 0.000
Y2 0.834 0.666 0.000
Y3 0.666 0.166 0.000
Y4 0.166 0.334 0.000
Au1 0.000 0.000 0.000
Au2 0.500 0.500 0.000
Pd1 0.128 0.628 0.500
Pd2 0.628 0.872 0.500
Pd3 0.872 0.372 0.500
Pd4 0.372 0.128 0.500
```

Total energy in eV/atom: -5.968
V in Å³ per atom: 22.902
DOS(E_F) in states/eV per cell: 4.5
Energy relative to the elements in eV per atom: -0.65

=====

# 4
Entry from the Alexandria database: Y2Pd2Au after structural relaxation (PBE-GGA).

The structure in CIF format:
```
data_Y2Pd2Au
_cell_length_a 7.609
_cell_length_b 7.609
_cell_length_c 3.716
_cell_angle_alpha 90.00
_cell_angle_beta 90.00
_cell_angle_gamma 90.00
_space_group_name_H-M_alt 'P 1'
_space_group_IT_number 1
loop_
_space_group_symop_operation_xyz
'x,y,z'
loop_
_atom_site_label
_atom_site_fract_x
_atom_site_fract_y
_atom_site_fract_z
Y1 0.175 0.675 0.500
Y2 0.675 0.825 0.500
Y3 0.825 0.325 0.500
Y4 0.325 0.175 0.500
Au1 0.000 0.000 0.000
Au2 0.500 0.500 0.000
Pd1 0.371 0.871 0.000
Pd2 0.871 0.629 0.000
Pd3 0.629 0.129 0.000
Pd4 0.129 0.371 0.000
```

Total energy in eV/atom: -6.201
V in Å³ per atom: 21.512
DOS(E_F) in states/eV per cell: 4.0
Energy relative to the elements in eV per atom: -0.88

=====

# 5
Entry from the Alexandria database: Y2Pd5Au after structural relaxation (PBE-GGA).

The structure in CIF format:
```
data_Y2Pd5Au
_cell_length_a 5.943
_cell_length_b 5.943
_cell_length_c 5.846
_cell_angle_alpha 120.55
_cell_angle_beta 120.55
_cell_angle_gamma 90.00
_space_group_name_H-M_alt 'P 1'
_space_group_IT_number 1
loop_
_space_group_symop_operation_xyz
'x,y,z'
loop_
_atom_site_label
_atom_site_fract_x
_atom_site_fract_y
_atom_site_fract_z
Y1 0.222 0.722 0.444
Y2 0.722 0.222 0.444
Pd1 0.722 0.222 0.944
Pd2 0.222 0.222 0.944
Pd3 0.722 0.722 0.944
Pd4 0.222 0.722 0.944
Pd5 0.722 0.722 0.445
Au1 0.222 0.222 0.444
```

Total energy in eV/atom: -6.137
V in Å³ per atom: 17.936
DOS(E_F) in states/eV per cell: 2.2
Energy relative to the elements in eV per atom: -0.87

=====

# 6
Entry from the Alexandria database: Y2Pd8Au after structural relaxation (PBE-GGA).

The structure in CIF format:
```
data_Y2Pd8Au
_cell_length_a 4.256
_cell_length_b 6.543
_cell_length_c 7.597
_cell_angle_alpha 106.94
_cell_angle_beta 106.27
_cell_angle_gamma 90.00
_space_group_name_H-M_alt 'P 1'
_space_group_IT_number 1
loop_
_space_group_symop_operation_xyz
'x,y,z'
loop_
_atom_site_label
_atom_site_fract_x
_atom_site_fract_y
_atom_site_fract_z
Y1 0.784 0.334 0.568
Y2 0.216 0.666 0.432
Pd1 0.409 0.558 0.818
Pd2 0.670 0.898 0.339
Pd3 0.857 0.820 0.715
Pd4 0.965 0.275 0.930
Pd5 0.143 0.180 0.285
Pd6 0.330 0.102 0.661
Pd7 0.591 0.442 0.182
Pd8 0.035 0.725 0.070
Au1 0.500 0.000 0.000
```

Total energy in eV/atom: -5.765
V in Å³ per atom: 17.593
DOS(E_F) in states/eV per cell: 3.7
Energy relative to the elements in eV per atom: -0.51

=====

# 7
Entry from the Alexandria database: YPdAu4 after structural relaxation (PBE-GGA).

The structure in CIF format:
```
data_YPdAu4
_cell_length_a 4.849
_cell_length_b 5.647
_cell_length_c 8.826
_cell_angle_alpha 71.34
_cell_angle_beta 89.97
_cell_angle_gamma 89.91
_space_group_name_H-M_alt 'P 1'
_space_group_IT_number 1
loop_
_space_group_symop_operation_xyz
'x,y,z'
loop_
_atom_site_label
_atom_site_fract_x
_atom_site_fract_y
_atom_site_fract_z
Y1 0.750 0.378 0.244
Y2 0.250 0.622 0.756
Pd1 0.750 0.872 0.256
Pd2 0.250 0.128 0.744
Au1 0.250 0.544 0.416
Au2 0.249 0.716 0.084
Au3 0.750 0.960 0.584
Au4 0.749 0.799 0.916
Au5 0.750 0.456 0.584
Au6 0.250 0.040 0.416
Au7 0.751 0.284 0.916
Au8 0.251 0.201 0.084
```

Total energy in eV/atom: -4.633
V in Å³ per atom: 19.081
DOS(E_F) in states/eV per cell: 3.8
Energy relative to the elements in eV per atom: -0.51

=====

# 8
Entry from the Alexandria database: YZn2Pd2Au after structural relaxation (PBE-GGA).

The structure in CIF format:
```
data_YZn2Pd2Au
_cell_length_a 4.742
_cell_length_b 4.742
_cell_length_c 5.586
_cell_angle_alpha 90.00
_cell_angle_beta 90.00
_cell_angle_gamma 90.00
_space_group_name_H-M_alt 'P 1'
_space_group_IT_number 1
loop_
_space_group_symop_operation_xyz
'x,y,z'
loop_
_atom_site_label
_atom_site_fract_x
_atom_site_fract_y
_atom_site_fract_z
Y1 0.000 0.000 0.500
Zn1 0.500 0.000 0.000
Zn2 0.000 0.500 0.000
Pd1 0.500 0.500 0.744
Pd2 0.500 0.500 0.256
Au1 0.000 0.000 0.000
```

Total energy in eV/atom: -3.968
V in Å³ per atom: 20.934
DOS(E_F) in states/eV per cell: 3.7
Energy relative to the elements in eV per atom: -0.19

=====

# 9
Entry from the Alexandria database: YbPd2Au after structural relaxation (PBE-GGA).

The structure in CIF format:
```
data_YbPd2Au
_cell_length_a 4.718
_cell_length_b 4.718
_cell_length_c 4.718
_cell_angle_alpha 60.00
_cell_angle_beta 60.00
_cell_angle_gamma 60.00
_space_group_name_H-M_alt 'P 1'
_space_group_IT_number 1
loop_
_space_group_symop_operation_xyz
'x,y,z'
loop_
_atom_site_label
_atom_site_fract_x
_atom_site_fract_y
_atom_site_fract_z
Yb1 0.000 0.000 0.000
Au1 0.500 0.500 0.500
Pd1 0.250 0.250 0.250
Pd2 0.750 0.750 0.750
```

Total energy in eV/atom: -4.402
V in Å³ per atom: 18.563
DOS(E_F) in states/eV per cell: 15.0
Energy relative to the elements in eV per atom: -0.60

=====

# 10
Entry from the Alexandria database: Zn2Pd8Au after structural relaxation (PBE-GGA).

The structure in CIF format:
```
data_Zn2Pd8Au
_cell_length_a 3.991
_cell_length_b 6.331
_cell_length_c 7.281
_cell_angle_alpha 107.09
_cell_angle_beta 105.91
_cell_angle_gamma 90.00
_space_group_name_H-M_alt 'P 1'
_space_group_IT_number 1
loop_
_space_group_symop_operation_xyz
'x,y,z'
loop_
_atom_site_label
_atom_site_fract_x
_atom_site_fract_y
_atom_site_fract_z
Zn1 0.775 0.352 0.551
Zn2 0.225 0.648 0.449
Pd1 0.401 0.535 0.801
Pd2 0.682 0.917 0.364
Pd3 0.854 0.796 0.709
Pd4 0.954 0.274 0.907
Pd5 0.146 0.204 0.291
Pd6 0.318 0.083 0.636
Pd7 0.599 0.465 0.199
Pd8 0.046 0.726 0.093
Au1 0.500 0.000 0.000
```

Total energy in eV/atom: -4.564
V in Å³ per atom: 15.315
DOS(E_F) in states/eV per cell: 9.9
Energy relative to the elements in eV per atom: -0.26

=====

# 11
Entry from the Alexandria database: ZnPd2Au after structural relaxation (PBE-GGA).

The structure in CIF format:
```
data_ZnPd2Au
_cell_length_a 3.827
_cell_length_b 3.827
_cell_length_c 9.759
_cell_angle_alpha 78.69
_cell_angle_beta 78.69
_cell_angle_gamma 90.00
_space_group_name_H-M_alt 'P 1'
_space_group_IT_number 1
loop_
_space_group_symop_operation_xyz
'x,y,z'
loop_
_atom_site_label
_atom_site_fract_x
_atom_site_fract_y
_atom_site_fract_z
Zn1 0.500 0.500 0.000
Zn2 0.250 0.750 0.500
Au1 0.000 0.000 0.000
Au2 0.750 0.250 0.500
Pd1 0.619 0.125 0.250
Pd2 0.131 0.625 0.250
Pd3 0.375 0.381 0.750
Pd4 0.875 0.869 0.750
```

Total energy in eV/atom: -3.751
V in Å³ per atom: 17.166
DOS(E_F) in states/eV per cell: 5.7
Energy relative to the elements in eV per atom: -0.02